Computed, not measured: a relaxed SmV2PdO8 crystal at the PBE+U level of DFT.

Lattice parameters (Å, degrees): 5.660 5.660 6.496 90.00 90.00 120.00
Each line ends with the local moment (μB).
Positions (direct):
O  0.158  0.842  0.785  0.03
O  0.842  0.684  0.215  0.03
O  0.842  0.158  0.215  0.03
O  0.667  0.333  0.537  0.00
O  0.158  0.316  0.785  0.03
O  0.333  0.667  0.463  0.00
O  0.684  0.842  0.785  0.03
O  0.316  0.158  0.215  0.03
V  0.333  0.667  0.720  0.10
V  0.667  0.333  0.280  0.10
Sm  0.000  0.000  0.500  0.00
Pd  0.000  0.000  0.000  0.58

## Properties
Size of the total moment in Bohr magnetons per cell: 1.02
Fermi-level density of states in states/eV/f.u.: 5.17
VASP energy in eV/atom: -7.16